Entry 1:
The following is a DFT calculation (PBE) of Nd5Tm4Pu after structural relaxation.

Properties
energy relative to the elements: 0.064 eV/atom

Cell: 3.5339 11.4415 8.6690 Å, 108.59 101.76 90.00°
Closest atoms and distances in Å follow each position.
Atoms (fractional coordinates):
1 Nd 0.2113 0.6159 0.4225  8 Nd 3.53-3.83, 5 Tm 3.65-3.78
2 Nd 0.1854 0.0762 0.3709  4 Tm 3.39-3.49, 2 Pu 3.46, 4 Nd 3.53-3.67
3 Nd 0.8146 0.9238 0.6291  4 Tm 3.39-3.49, 2 Pu 3.46, 4 Nd 3.53-3.67
4 Nd 0.5000 0.5000 0.0000  6 Tm 3.30-3.62, 2 Nd 3.53
5 Nd 0.7887 0.3841 0.5775  8 Nd 3.53-3.83, 5 Tm 3.65-3.78
6 Tm 0.6042 0.7994 0.2084  6 Nd 3.30-3.65, 1 Pu 3.32, 4 Tm 3.45-3.53
7 Tm 0.9193 0.7128 0.8387  6 Nd 3.43-3.78, 4 Tm 3.45-3.53, 2 Pu 3.59
8 Tm 0.3958 0.2006 0.7916  6 Nd 3.30-3.65, 1 Pu 3.32, 4 Tm 3.45-3.53
9 Tm 0.0807 0.2872 0.1613  6 Nd 3.43-3.78, 4 Tm 3.45-3.53, 2 Pu 3.59
10 Pu 0.5000 0.0000 0.0000  6 Tm 3.32-3.59, 4 Nd 3.46, 2 Pu 3.53


Entry 2:
The following is a DFT calculation (PBE) of AlV3Bi after structural relaxation.

Properties
E above lowest polymorph: 0.000 eV per atom
energy relative to the elements: 0.987 eV/atom

Cell: 4.6892 4.6892 4.6892 Å, 90.00 90.00 90.00°
Closest atoms and distances in Å follow each position.
Atoms (fractional coordinates):
1 Bi 0.5000 0.5000 0.5000  12 V 3.32
2 Al 0.0000 0.0000 0.0000  6 V 2.34
3 V 0.0000 0.5000 0.0000  2 Al 2.34
4 V 0.0000 0.0000 0.5000  2 Al 2.34
5 V 0.5000 0.0000 0.0000  2 Al 2.34


Entry 3:
The following is a DFT calculation (PBE) of AcCeInSb after structural relaxation.

Properties
E_form (uncorrected): -12.0 kcal/mol of atoms

Cell: 5.6379 5.6379 5.6379 Å, 60.00 60.00 60.00°
Closest atoms and distances in Å follow each position.
Atoms (fractional coordinates):
1 Sb 0.0000 0.0000 0.0000  4 Ce 3.45, 4 Ac 3.45
2 Ac 0.2500 0.2500 0.2500  4 In 3.45, 4 Sb 3.45
3 Ce 0.7500 0.7500 0.7500  4 In 3.45, 4 Sb 3.45
4 In 0.5000 0.5000 0.5000  4 Ac 3.45, 4 Ce 3.45


Entry 4:
The following is a DFT calculation (PBE) of LiY3Tm3Te8 after structural relaxation.

Properties
E_form (uncorrected): -30.0 kcal/mol of atoms

Cell: 8.6273 8.6274 8.6398 Å, 119.95 90.00 120.00°
Closest atoms and distances in Å follow each position.
Atoms (fractional coordinates):
1 Li 0.0000 0.0000 0.5000  6 Te 3.05
2 Y 0.0000 0.0000 0.0000  6 Te 3.07
3 Y 0.0000 0.5000 0.0000  6 Te 3.07
4 Y 0.5000 0.5000 0.0000  6 Te 3.07
5 Tm 0.5000 0.0000 0.5000  6 Te 3.03
6 Tm 0.5000 0.5000 0.5000  6 Te 3.03
7 Tm 0.0000 0.5000 0.5000  6 Te 3.03
8 Te 0.2516 0.5031 0.2547  3 Tm 3.03, 3 Y 3.07
9 Te 0.7484 0.4969 0.7453  3 Tm 3.03, 3 Y 3.07
10 Te 0.7505 0.5010 0.2539  2 Tm 3.03, 1 Li 3.05, 2 Y 3.07
11 Te 0.2495 0.4990 0.7461  2 Tm 3.03, 1 Li 3.05, 2 Y 3.07
12 Te 0.7505 0.0034 0.2539  2 Tm 3.03, 1 Li 3.05, 2 Y 3.07
13 Te 0.2495 0.9966 0.7461  2 Tm 3.03, 1 Li 3.05, 2 Y 3.07
14 Te 0.2529 0.0034 0.2539  2 Tm 3.03, 1 Li 3.05, 2 Y 3.07
15 Te 0.7471 0.9966 0.7461  2 Tm 3.03, 1 Li 3.05, 2 Y 3.07


Entry 5:
The following is a DFT calculation (PBE) of CsMnTe2 after structural relaxation.

Properties
E_form (uncorrected): -9.8 kcal/mol of atoms

Cell: 12.5593 12.5593 5.3229 Å, 90.00 90.00 153.41°
Closest atoms and distances in Å follow each position.
Atoms (fractional coordinates):
1 Cs 0.3322 0.6678 0.2500  7 Te 3.93-4.20
2 Cs 0.6678 0.3322 0.7500  7 Te 3.93-4.20
3 Te 0.1712 0.8288 0.2500  1 Mn 2.53
4 Te 0.8288 0.1712 0.7500  1 Mn 2.53
5 Te 0.9568 0.0432 0.2500  3 Mn 2.71-2.73
6 Te 0.0432 0.9568 0.7500  3 Mn 2.71-2.73
7 Mn 0.0677 0.9323 0.2500  4 Te 2.53-2.73
8 Mn 0.9323 0.0677 0.7500  4 Te 2.53-2.73


Entry 6:
The following is a DFT calculation (PBE) of PmNdZn2Ge2 after structural relaxation.

Properties
energy relative to the elements: -0.677 eV/atom

Cell: 4.2394 4.2394 8.4333 Å, 90.00 90.00 120.00°
Closest atoms and distances in Å follow each position.
Atoms (fractional coordinates):
1 Pm 0.0000 0.0000 0.0000  6 Zn 3.22, 6 Ge 3.22
2 Nd 0.0000 0.0000 0.5000  6 Ge 3.24, 6 Zn 3.24
3 Zn 0.3333 0.6667 0.7519  3 Ge 2.45
4 Zn 0.6667 0.3333 0.2481  3 Ge 2.45
5 Ge 0.3333 0.6667 0.2483  3 Zn 2.45
6 Ge 0.6667 0.3333 0.7517  3 Zn 2.45


Entry 7:
The following is a DFT calculation (PBE) of Ho3Si2Os2 after structural relaxation.

Properties
E_form (uncorrected): -15.0 kcal/mol of atoms

Cell: 5.5814 7.5539 13.4289 Å, 90.00 90.00 90.00°
Closest atoms and distances in Å follow each position.
Atoms (fractional coordinates):
1 Ho 0.1427 0.6040 0.1015  4 Os 2.90-3.02, 3 Si 2.96-3.09
2 Ho 0.8573 0.3960 0.6015  4 Os 2.90-3.02, 3 Si 2.96-3.09
3 Ho 0.8573 0.1040 0.3985  4 Os 2.90-3.02, 3 Si 2.96-3.09
4 Ho 0.1427 0.8960 0.8985  4 Os 2.90-3.02, 3 Si 2.96-3.09
5 Ho 0.8573 0.3960 0.8985  4 Os 2.90-3.02, 3 Si 2.96-3.09
6 Ho 0.1427 0.6040 0.3985  4 Os 2.90-3.02, 3 Si 2.96-3.09
7 Ho 0.1427 0.8960 0.6015  4 Os 2.90-3.02, 3 Si 2.96-3.09
8 Ho 0.8573 0.1040 0.1015  4 Os 2.90-3.02, 3 Si 2.96-3.09
9 Ho 0.3767 0.2484 0.2500  3 Si 2.94-3.09, 4 Os 2.98-3.12
10 Ho 0.6233 0.7516 0.7500  3 Si 2.94-3.09, 4 Os 2.98-3.12
11 Ho 0.6233 0.7484 0.2500  3 Si 2.94-3.09, 4 Os 2.98-3.12
12 Ho 0.3767 0.2516 0.7500  3 Si 2.94-3.09, 4 Os 2.98-3.12
13 Si 0.4018 0.2500 0.0000  4 Os 2.44-2.50
14 Si 0.5982 0.7500 0.5000  4 Os 2.44-2.50
15 Si 0.5982 0.7500 0.0000  4 Os 2.44-2.50
16 Si 0.4018 0.2500 0.5000  4 Os 2.44-2.50
17 Si 0.8628 0.4017 0.2500  2 Os 2.50
18 Si 0.1372 0.5983 0.7500  2 Os 2.50
19 Si 0.1372 0.9017 0.2500  2 Os 2.50
20 Si 0.8628 0.0983 0.7500  2 Os 2.50
21 Os 0.6487 0.4731 0.0915  3 Si 2.44-2.50
22 Os 0.3513 0.5269 0.5915  3 Si 2.44-2.50
23 Os 0.3513 0.9731 0.4085  3 Si 2.44-2.50
24 Os 0.6487 0.0269 0.9085  3 Si 2.44-2.50
25 Os 0.3513 0.5269 0.9085  3 Si 2.44-2.50
26 Os 0.6487 0.4731 0.4085  3 Si 2.44-2.50
27 Os 0.6487 0.0269 0.5915  3 Si 2.44-2.50
28 Os 0.3513 0.9731 0.0915  3 Si 2.44-2.50


Entry 8:
The following is a DFT calculation (PBE) of Gd2HoZn after structural relaxation.

Properties
E above lowest polymorph: 0.000 eV per atom
energy relative to the elements: -0.151 eV/atom

Cell: 3.5797 3.5797 8.6504 Å, 90.00 90.00 90.00°
Closest atoms and distances in Å follow each position.
Atoms (fractional coordinates):
1 Zn 0.5000 0.5000 0.0000  8 Gd 3.11
2 Gd 0.0000 0.0000 0.7905  4 Zn 3.11
3 Gd 0.0000 0.0000 0.2095  4 Zn 3.11
4 Ho 0.5000 0.5000 0.5000  8 Gd 3.57, 4 Ho 3.58